--- i ---
Cd2TeBr: relaxed, PBE.

Its crystal system is tetragonal. For the density of states at the Fermi level, the calculation gives 0.452 states/eV/atom.

The structure belongs to space group P4/mmm (No. 123); the cell edges are 3.7764, 3.7764 and 7.5972 Å and the angles 90.00°, 90.00° and 90.00°. Symmetry generates all atoms from Cd at (0.0000, 0.0000, 0.2293), Te at (0.5000, 0.5000, 0.0000) and Br at (0.5000, 0.5000, 0.5000).

---

--- ii ---
Cd2TeBr: relaxed, PBE.

Its crystal system is trigonal. For the density of states at the Fermi level, the calculation gives 0.401 states/eV/atom.

The structure belongs to space group R3m (No. 160, hexagonal axes); the cell edges are 3.7678, 3.7678 and 29.7777 Å and the angles 90.00°, 90.00° and 120.00°. Symmetry generates all atoms from Cd at (0.0000, 0.0000, 0.0000), Cd at (0.0000, 0.0000, 0.2603), Te at (0.0000, 0.0000, 0.7360) and Br at (0.0000, 0.0000, 0.5345).

---

--- iii ---
Cd2TeBr: relaxed, PBE.

Its crystal system is cubic. For the density of states at the Fermi level, the calculation gives 0.387 states/eV/atom.

The structure belongs to space group Fm-3m (No. 225); the cell edges are 7.4978, 7.4978 and 7.4978 Å and the angles 90.00°, 90.00° and 90.00°. Symmetry generates all atoms from Cd at (0.2500, 0.2500, 0.2500), Te at (0.0000, 0.0000, 0.0000) and Br at (0.0000, 0.0000, 0.5000).

---

--- iv ---
Cd2TeBr: relaxed, PBE.

Its crystal system is tetragonal. For the density of states at the Fermi level, the calculation gives 0.344 states/eV/atom.

The structure belongs to space group I-4m2 (No. 119); the cell edges are 4.1519, 4.1519 and 14.6770 Å and the angles 90.00°, 90.00° and 90.00°. Symmetry generates all atoms from Cd at (0.0000, 0.0000, 0.0000), Cd at (0.0000, 0.5000, 0.2500), Te at (0.0000, 0.5000, 0.7500) and Br at (0.0000, 0.0000, 0.5000).

---

The structure with the most favorable energy is ii; the runner-up is 33 meV per atom above it.

---

--- i ---
Cd2TeBr: relaxed, PBE.

Its crystal system is monoclinic. For the density of states at the Fermi level, the calculation gives 0.285 states/eV/atom.

The structure belongs to space group P2/m (No. 10); the cell edges are 4.0676, 3.9449 and 7.3676 Å and the angles 90.00°, 90.03° and 90.00°. Symmetry generates all atoms from Cd at (0.0033, 0.0000, 0.2038), Te at (0.5000, 0.5000, 0.0000) and Br at (0.0000, 0.5000, 0.5000).

---

--- ii ---
Cd2TeBr: relaxed, PBE.

Its crystal system is monoclinic. For the density of states at the Fermi level, the calculation gives 0.319 states/eV/atom.

The structure belongs to space group C2/m (No. 12); the cell edges are 7.7095, 4.3872 and 7.4453 Å and the angles 90.00°, 111.19° and 90.00°. Symmetry generates all atoms from Cd at (0.2479, 0.0000, 0.2290), Te at (0.0000, 0.5000, 0.0000) and Br at (0.0000, 0.0000, 0.5000).

---

The structure with the most favorable energy is ii; the runner-up is 96 meV per atom above it.

---

--- i ---
Cd2TeBr: relaxed, PBE.

Its crystal system is monoclinic. For the density of states at the Fermi level, the calculation gives 0.292 states/eV/atom.

The structure belongs to space group Cm (No. 8); the cell edges are 12.5266, 3.3197 and 7.6391 Å and the angles 90.00°, 123.80° and 90.00°. Symmetry generates all atoms from Cd at (0.0000, 0.0000, 0.0000), Cd at (0.2343, 0.5000, 0.2648), Te at (0.2759, 0.0000, 0.6520) and Br at (0.4161, 0.0000, 0.2645).

---

--- ii ---
Cd2TeBr: relaxed, PBE.

Its crystal system is orthorhombic. For the density of states at the Fermi level, the calculation gives 0.570 states/eV/atom.

The structure belongs to space group Cmm2 (No. 35); the cell edges are 4.1162, 5.6720 and 9.7742 Å and the angles 90.00°, 90.00° and 90.00°. Symmetry generates all atoms from Cd at (0.0000, 0.0000, 0.0000), Cd at (0.0000, 0.5000, 0.2299), Te at (0.0000, 0.5000, 0.7720) and Br at (0.0000, 0.0000, 0.4165).

---

The structure with the most favorable energy is i; the runner-up is 68 meV per atom above it.

---

--- i ---
Cd2TeBr: relaxed, PBE.

Its crystal system is orthorhombic. For the density of states at the Fermi level, the calculation gives 0.265 states/eV/atom.

The structure belongs to space group Immm (No. 71); the cell edges are 4.3126, 7.0878 and 8.0433 Å and the angles 90.00°, 90.00° and 90.00°. Symmetry generates all atoms from Cd at (0.0000, 0.0000, 0.2473), Te at (0.0000, 0.5000, 0.5000) and Br at (0.0000, 0.5000, 0.0000).

---

--- ii ---
Cd2TeBr: relaxed, PBE.

Its crystal system is cubic. For the density of states at the Fermi level, the calculation gives 0.676 states/eV/atom.

The structure belongs to space group F-43m (No. 216); the cell edges are 7.5338, 7.5338 and 7.5338 Å and the angles 90.00°, 90.00° and 90.00°. Symmetry generates all atoms from Cd at (0.0000, 0.0000, 0.0000), Cd at (0.2500, 0.2500, 0.2500), Te at (0.0000, 0.0000, 0.5000) and Br at (0.2500, 0.2500, 0.7500).

---

--- iii ---
Cd2TeBr: relaxed, PBE.

Its crystal system is tetragonal. For the density of states at the Fermi level, the calculation gives 0.356 states/eV/atom.

The structure belongs to space group I-42d (No. 122); the cell edges are 6.6612, 6.6612 and 13.8831 Å and the angles 90.00°, 90.00° and 90.00°. Symmetry generates all atoms from Cd at (0.2408, 0.2500, 0.1250), Te at (0.0000, 0.0000, 0.0000) and Br at (0.0000, 0.0000, 0.5000).

---

The structure with the most favorable energy is iii; the runner-up is 78 meV per atom above it.

---

--- i ---
CdTe2Br: relaxed, PBE.

Its crystal system is orthorhombic. For the density of states at the Fermi level, the calculation gives 0.735 states/eV/atom.

The structure belongs to space group Cmmm (No. 65); the cell edges are 4.4323, 6.9386 and 8.2011 Å and the angles 90.00°, 90.00° and 90.00°. Symmetry generates all atoms from Cd at (0.0000, 0.0000, 0.0000), Te at (0.0000, 0.5000, 0.2120) and Br at (0.0000, 0.0000, 0.5000).

---

--- ii ---
CdTe2Br: relaxed, PBE.

Its crystal system is orthorhombic. For the density of states at the Fermi level, the calculation gives 0.497 states/eV/atom.

The structure belongs to space group Immm (No. 71); the cell edges are 3.9839, 4.3768 and 14.5417 Å and the angles 90.00°, 90.00° and 90.00°. Symmetry generates all atoms from Cd at (0.0000, 0.0000, 0.0000), Te at (0.0000, 0.5000, 0.2742) and Br at (0.0000, 0.0000, 0.5000).

---

--- iii ---
CdTe2Br: relaxed, PBE.

Its crystal system is monoclinic. For the density of states at the Fermi level, the calculation gives 0.406 states/eV/atom.

The structure belongs to space group Cm (No. 8); the cell edges are 12.6339, 4.3220 and 5.3538 Å and the angles 90.00°, 104.93° and 90.00°. Symmetry generates all atoms from Cd at (0.0000, 0.0000, 0.0000), Te at (0.0537, 0.5000, 0.3868), Te at (0.3926, 0.0000, 0.6436) and Br at (0.2130, 0.0000, 0.9747).

---

The structure with the most favorable energy is iii; the runner-up is 134 meV per atom above it.

---

--- i ---
CdTe2Br: relaxed, PBE.

Its crystal system is tetragonal. For the density of states at the Fermi level, the calculation gives 0.729 states/eV/atom.

The structure belongs to space group P4/mmm (No. 123); the cell edges are 4.2355, 4.2355 and 7.3526 Å and the angles 90.00°, 90.00° and 90.00°. Symmetry generates all atoms from Cd at (0.0000, 0.0000, 0.0000), Te at (0.0000, 0.5000, 0.5000) and Br at (0.5000, 0.5000, 0.0000).

---

--- ii ---
CdTe2Br: relaxed, PBE.

Its crystal system is tetragonal. For the density of states at the Fermi level, the calculation gives 0.431 states/eV/atom.

The structure belongs to space group I4/mmm (No. 139); the cell edges are 6.1643, 6.1643 and 6.3943 Å and the angles 90.00°, 90.00° and 90.00°. Symmetry generates all atoms from Cd at (0.0000, 0.0000, 0.0000), Te at (0.0000, 0.5000, 0.0000) and Br at (0.0000, 0.0000, 0.5000).

---

--- iii ---
CdTe2Br: relaxed, PBE.

Its crystal system is tetragonal. For the density of states at the Fermi level, the calculation gives 0.971 states/eV/atom.

The structure belongs to space group P4/mmm (No. 123); the cell edges are 5.7422, 5.7422 and 3.3255 Å and the angles 90.00°, 90.00° and 90.00°. Symmetry generates all atoms from Cd at (0.0000, 0.0000, 0.0000), Te at (0.0000, 0.5000, 0.5000) and Br at (0.5000, 0.5000, 0.0000).

---

--- iv ---
CdTe2Br: relaxed, PBE.

Its crystal system is tetragonal. For the density of states at the Fermi level, the calculation gives 0.501 states/eV/atom.

The structure belongs to space group P4mm (No. 99); the cell edges are 3.6132, 3.6132 and 9.0291 Å and the angles 90.00°, 90.00° and 90.00°. Symmetry generates all atoms from Cd at (0.0000, 0.0000, 0.0000), Te at (0.0000, 0.0000, 0.4527), Te at (0.5000, 0.5000, 0.2403) and Br at (0.5000, 0.5000, 0.8257).

---

The structure with the most favorable energy is i; the runner-up is 20 meV per atom above it.

---

--- i ---
CdTeBr6: relaxed, PBE.

Its crystal system is monoclinic. For the density of states at the Fermi level, the calculation gives 0.000 states/eV/atom.

The structure belongs to space group C2/m (No. 12); the cell edges are 6.9428, 12.9464 and 6.9319 Å and the angles 90.00°, 110.22° and 90.00°. Symmetry generates all atoms from Cd at (0.0000, 0.0000, 0.0000), Te at (0.0000, 0.5000, 0.5000), Br at (0.2372, 0.5000, 0.2618) and Br at (0.2492, 0.1488, 0.2494).

---

--- ii ---
CdTeBr6: relaxed, PBE.

Its crystal system is trigonal. For the density of states at the Fermi level, the calculation gives 0.000 states/eV/atom.

The structure belongs to space group R-3 (No. 148, hexagonal axes); the cell edges are 6.9464, 6.9464 and 18.7704 Å and the angles 90.00°, 90.00° and 120.00°. Symmetry generates all atoms from Cd at (0.0000, 0.0000, 0.0000), Te at (0.0000, 0.0000, 0.5000) and Br at (0.0026, 0.6748, 0.4170).

---

The structure with the most favorable energy is i; the runner-up is 19 meV per atom above it.

---

--- i ---
CdTeBr: relaxed, PBE.

Its crystal system is orthorhombic. For the density of states at the Fermi level, the calculation gives 0.375 states/eV/atom.

The structure belongs to space group Fmm2 (No. 42); the cell edges are 4.0526, 6.0855 and 15.4920 Å and the angles 90.00°, 90.00° and 90.00°. Symmetry generates all atoms from Cd at (0.0000, 0.0000, 0.0000), Te at (0.0000, 0.0000, 0.3620) and Br at (0.0000, 0.0000, 0.6183).

---

--- ii ---
CdTeBr: relaxed, PBE.

Its crystal system is triclinic.

The structure belongs to space group P-1 (No. 2); the cell edges are 4.5663, 6.3958 and 7.7985 Å and the angles 76.64°, 89.89° and 89.39°. Symmetry generates all atoms from Cd at (0.0022, 0.3712, 0.3039), Te at (0.4960, 0.7074, 0.8906) and Br at (0.0029, 0.2116, 0.6554).

---

The structure with the most favorable energy is ii; the runner-up is 289 meV per atom above it.

---

--- i ---
CdTeBr: relaxed, PBE.

Its crystal system is cubic. For the density of states at the Fermi level, the calculation gives 1.660 states/eV/atom.

The structure belongs to space group F-43m (No. 216); the cell edges are 7.1955, 7.1955 and 7.1955 Å and the angles 90.00°, 90.00° and 90.00°. Symmetry generates all atoms from Cd at (0.0000, 0.0000, 0.0000), Te at (0.2500, 0.2500, 0.2500) and Br at (0.2500, 0.2500, 0.7500).

---

--- ii ---
CdTeBr: relaxed, PBE.

Its crystal system is triclinic.

The structure belongs to space group P1 (No. 1); the cell edges are 6.0116, 6.4988 and 6.5074 Å and the angles 62.27°, 76.96° and 75.49°. Symmetry generates all atoms from Cd at (0.0000, 0.0000, 0.0000), Cd at (0.3157, 0.2622, 0.2734), Te at (0.4454, 0.0418, 0.7295), Te at (0.6048, 0.3439, 0.8402), Br at (0.1175, 0.8671, 0.4279) and Br at (0.9131, 0.5577, 0.1338).

---

--- iii ---
CdTeBr: relaxed, PBE.

Its crystal system is triclinic. For the density of states at the Fermi level, the calculation gives 0.356 states/eV/atom.

The structure belongs to space group P1 (No. 1); the cell edges are 3.5800, 4.0399 and 7.4858 Å and the angles 90.11°, 90.13° and 90.08°. Symmetry generates all atoms from Cd at (0.0000, 0.0000, 0.0000), Te at (0.0017, 0.5010, 0.2677) and Br at (0.4989, 0.9988, 0.7414).

---

--- iv ---
CdTeBr: relaxed, PBE.

Its crystal system is monoclinic.

The structure belongs to space group C2 (No. 5); the cell edges are 9.8268, 7.5516 and 6.0733 Å and the angles 90.00°, 113.41° and 90.00°. Symmetry generates all atoms from Cd at (0.1522, 0.0000, 0.3159), Te at (0.0781, 0.3648, 0.3503) and Br at (0.1386, 0.8889, 0.8635).

---

The structure with the most favorable energy is ii; the runner-up is 8 meV per atom above it.

---

--- i ---
CdTeBr: relaxed, PBE.

Its crystal system is monoclinic.

The structure belongs to space group C2/m (No. 12); the cell edges are 11.3461, 7.2705 and 5.6010 Å and the angles 90.00°, 103.76° and 90.00°. Symmetry generates all atoms from Cd at (0.0000, 0.2406, 0.0000), Te at (0.1029, 0.0000, 0.4015) and Br at (0.1504, 0.5000, 0.8863).

---

--- ii ---
CdTeBr: relaxed, PBE.

Its crystal system is tetragonal. For the density of states at the Fermi level, the calculation gives 0.264 states/eV/atom.

The structure belongs to space group I4mm (No. 107); the cell edges are 3.4933, 3.4933 and 14.8191 Å and the angles 90.00°, 90.00° and 90.00°. Symmetry generates all atoms from Cd at (0.0000, 0.0000, 0.0000), Te at (0.0000, 0.0000, 0.3583) and Br at (0.0000, 0.0000, 0.6130).

---

--- iii ---
CdTeBr: relaxed, PBE.

Its crystal system is triclinic.

The structure belongs to space group P-1 (No. 2); the cell edges are 4.3790, 6.5261 and 7.7121 Å and the angles 66.53°, 85.74° and 73.65°. Symmetry generates all atoms from Cd at (0.0000, 0.0000, 0.0000), Cd at (0.5000, 0.5000, 0.5000), Te at (0.0796, 0.1327, 0.5860) and Br at (0.3568, 0.3285, 0.9077).

---

The structure with the most favorable energy is i; the runner-up is 74 meV per atom above it.